Record 1
This record from Alexandria via LeMat-Bulk describes a geometry-optimized K2CeSb2O6 structure. The functional is GGA-PBE.

a = 6.154 Å, b = 6.153 Å, c = 7.386 Å
α = 94.63°, β = 90.00°, γ = 120.01°
Atoms (fractional coordinates):
K 0.823 0.647 0.343
K 0.177 0.353 0.657
Ce 0.500 0.000 0.500
Sb 0.853 0.707 0.809
Sb 0.147 0.293 0.191
O 0.687 0.373 0.670
O 0.313 0.152 0.328
O 0.160 0.848 0.672
O 0.687 0.848 0.672
O 0.840 0.152 0.328
O 0.313 0.627 0.330

Computed properties:
E_tot   -6.219 eV/atom
Formation energy from raw total energies   -2.026 eV/atom


Record 2
This record from Alexandria via LeMat-Bulk describes a geometry-optimized K3PdF5 structure. The functional is GGA-PBE.

a = 6.357 Å, b = 7.241 Å, c = 7.241 Å
α = 90.00°, β = 90.00°, γ = 90.00°
Site moments in Bohr magnetons follow the coordinates.
Atoms (fractional coordinates):
K 0.000 0.000 0.000  0.00
K 0.000 0.500 0.500  0.00
K 0.500 0.325 0.825  0.00
K 0.500 0.825 0.675  0.00
K 0.500 0.175 0.325  0.00
K 0.500 0.675 0.175  0.00
Pd 0.000 0.500 0.000  0.15
Pd 0.000 0.000 0.500  0.15
F 0.781 0.138 0.638  0.01
F 0.781 0.862 0.362  0.01
F 0.781 0.362 0.138  0.01
F 0.781 0.638 0.862  0.01
F 0.219 0.138 0.638  0.01
F 0.219 0.638 0.862  0.01
F 0.219 0.362 0.138  0.01
F 0.219 0.862 0.362  0.01
F 0.500 0.000 0.000  0.01
F 0.500 0.500 0.500  0.01

Computed properties:
E_tot   -4.256 eV/atom
Formation energy from raw total energies   -2.274 eV/atom
ΔE to the lowest computed polymorph   0 meV/atom


Record 3
This record from Alexandria via LeMat-Bulk describes a geometry-optimized MgFeReRu structure. The functional is GGA-PBE.

a = 4.276 Å, b = 4.276 Å, c = 4.276 Å
α = 60.00°, β = 60.00°, γ = 60.00°
Site moments in Bohr magnetons follow the coordinates.
Atoms (fractional coordinates):
Re 0.500 0.500 0.500  0.03
Mg 0.000 0.000 0.000  -0.01
Fe 0.750 0.750 0.750  0.89
Ru 0.250 0.250 0.250  -0.08

Computed properties:
E_tot   -7.796 eV/atom
ΔE_f   14 kJ/mol of atoms